{
  "formula": "La6PmPr",
  "functional": "PBE",
  "state": "relaxed",
  "energy_ev_per_cell": -39.07,
  "density_g_cm3": 6.44,
  "dos_ef_per_ev_fu": 12.7,
  "lattice": [[5.2436, 0.0000, 0.0000], [0.0000, 5.2436, 0.0000], [0.0000, 0.0000, 10.4893]],
  "species": ["La", "La", "La", "La", "La", "La", "Pm", "Pr"],
  "fractional_positions": [[0.0000, 0.0000, 0.0000], [0.0000, 0.0000, 0.5000], [0.0000, 0.5000, 0.2493], [0.0000, 0.5000, 0.7507], [0.5000, 0.0000, 0.2493], [0.5000, 0.0000, 0.7507], [0.5000, 0.5000, 0.0000], [0.5000, 0.5000, 0.5000]]
}

{
  "formula": "MnCrRu2",
  "functional": "PBE",
  "state": "relaxed",
  "energy_ev_per_cell": -73.94,
  "density_g_cm3": 9.80,
  "dos_ef_per_ev_fu": 4.6,
  "lattice": [[8.7944, 0.0000, 0.0000], [0.0000, 2.6877, 0.0000], [-0.8579, 0.0000, 4.4328]],
  "species": ["Mn", "Mn", "Cr", "Cr", "Ru", "Ru", "Ru", "Ru"],
  "fractional_positions": [[0.0000, 0.0000, 0.0000], [0.5000, 0.5000, 0.0000], [0.2472, 0.5000, 0.2433], [0.7472, 0.0000, 0.2433], [0.2486, 0.0000, 0.7474], [0.4961, 0.0000, 0.4945], [0.7486, 0.5000, 0.7474], [0.9961, 0.5000, 0.4945]]
}

{
  "formula": "Er7Sn2Rh2",
  "functional": "PBE",
  "state": "relaxed",
  "energy_ev_per_cell": -60.29,
  "density_g_cm3": 8.70,
  "dos_ef_per_ev_fu": 8.5,
  "lattice": [[4.0621, -5.3796, 0.0000], [4.0621, 5.3796, 0.0000], [0.0000, 0.0000, 7.0523]],
  "species": ["Er", "Er", "Er", "Er", "Er", "Er", "Er", "Sn", "Sn", "Rh", "Rh"],
  "fractional_positions": [[0.0000, 0.0000, 0.0000], [0.0000, 0.5000, 0.2477], [0.0000, 0.5000, 0.7523], [0.5000, 0.0000, 0.2477], [0.5000, 0.0000, 0.7523], [0.5000, 0.5000, 0.2364], [0.5000, 0.5000, 0.7636], [0.1831, 0.1831, 0.5000], [0.8169, 0.8169, 0.5000], [0.2848, 0.7152, 0.0000], [0.7152, 0.2848, 0.0000]]
}

{
  "formula": "ScVNiIr",
  "functional": "PBE",
  "state": "relaxed",
  "energy_ev_per_cell": -126.95,
  "density_g_cm3": 9.66,
  "dos_ef_per_ev_fu": 3.9,
  "lattice": [[6.2017, 0.0000, 0.0000], [0.0000, 6.2017, 0.0000], [0.0000, 0.0000, 6.2017]],
  "species": ["Sc", "Sc", "Sc", "Sc", "V", "V", "V", "V", "Ni", "Ni", "Ni", "Ni", "Ir", "Ir", "Ir", "Ir"],
  "fractional_positions": [[0.0000, 0.0000, 0.0000], [0.0000, 0.5000, 0.5000], [0.5000, 0.0000, 0.5000], [0.5000, 0.5000, 0.0000], [0.0000, 0.0000, 0.5000], [0.0000, 0.5000, 0.0000], [0.5000, 0.0000, 0.0000], [0.5000, 0.5000, 0.5000], [0.2500, 0.2500, 0.7500], [0.2500, 0.7500, 0.2500], [0.7500, 0.2500, 0.2500], [0.7500, 0.7500, 0.7500], [0.2500, 0.2500, 0.2500], [0.2500, 0.7500, 0.7500], [0.7500, 0.2500, 0.7500], [0.7500, 0.7500, 0.2500]]
}

{
  "formula": "Li2TaAu",
  "functional": "PBE",
  "state": "relaxed",
  "relative_energy_ev_per_atom": 0.043,
  "density_g_cm3": 9.55,
  "dos_ef_per_ev_fu": 2.7,
  "lattice": [[2.8335, 0.0000, 0.0000], [0.0000, 2.8335, 0.0000], [0.0000, 0.0000, 8.4866]],
  "species": ["Li", "Li", "Ta", "Au"],
  "fractional_positions": [[0.0000, 0.0000, 0.0000], [0.5000, 0.5000, 0.2648], [0.0000, 0.0000, 0.5306], [0.5000, 0.5000, 0.7858]]
}

{
  "formula": "NpPaSi",
  "functional": "PBE",
  "state": "relaxed",
  "raw_formation_energy_kcal_per_mol_atoms": -0.674,
  "relative_energy_ev_per_atom": 0.000,
  "density_g_cm3": 14.58,
  "dos_ef_per_ev_fu": 5.6,
  "lattice": [[4.8528, 0.0000, 0.0000], [0.0000, 5.7849, 0.0000], [0.0000, 0.0000, 8.0526]],
  "species": ["Np", "Np", "Np", "Np", "Pa", "Pa", "Pa", "Pa", "Si", "Si", "Si", "Si"],
  "fractional_positions": [[0.0000, 0.0000, 0.1467], [0.0000, 0.0000, 0.8533], [0.5000, 0.5000, 0.3533], [0.5000, 0.5000, 0.6467], [0.0000, 0.5000, 0.1876], [0.0000, 0.5000, 0.8124], [0.5000, 0.0000, 0.3124], [0.5000, 0.0000, 0.6876], [0.0000, 0.2211, 0.5000], [0.0000, 0.7789, 0.5000], [0.5000, 0.2789, 0.0000], [0.5000, 0.7211, 0.0000]]
}

{
  "formula": "Ta2TlGaTe",
  "functional": "PBE",
  "state": "relaxed",
  "raw_formation_energy_kcal_per_mol_atoms": 29.855,
  "density_g_cm3": 10.04,
  "dos_ef_per_ev_fu": 7.7,
  "lattice": [[4.9689, 0.0000, 0.0000], [0.0000, 4.9689, 0.0000], [0.0000, 0.0000, 5.1172]],
  "species": ["Ta", "Ta", "Tl", "Ga", "Te"],
  "fractional_positions": [[0.0000, 0.5000, 0.0000], [0.5000, 0.0000, 0.0000], [0.0000, 0.0000, 0.5000], [0.0000, 0.0000, 0.0000], [0.5000, 0.5000, 0.5000]]
}

{
  "formula": "Nd3ErTl4",
  "functional": "PBE",
  "state": "relaxed",
  "relative_energy_ev_per_atom": 0.139,
  "density_g_cm3": 9.32,
  "dos_ef_per_ev_fu": 6.4,
  "lattice": [[3.7239, 0.0000, 0.0000], [0.0000, 7.3246, 0.0000], [0.0000, 0.0000, 18.5257]],
  "species": ["Nd", "Nd", "Nd", "Nd", "Nd", "Nd", "Er", "Er", "Tl", "Tl", "Tl", "Tl", "Tl", "Tl", "Tl", "Tl"],
  "fractional_positions": [[0.0000, 0.0000, 0.0000], [0.0000, 0.5000, 0.2170], [0.0000, 0.5000, 0.7830], [0.5000, 0.0000, 0.2830], [0.5000, 0.0000, 0.7170], [0.5000, 0.5000, 0.5000], [0.0000, 0.0000, 0.5000], [0.5000, 0.5000, 0.0000], [0.0000, 0.2846, 0.3747], [0.0000, 0.2846, 0.6253], [0.0000, 0.7154, 0.3747], [0.0000, 0.7154, 0.6253], [0.5000, 0.2154, 0.1253], [0.5000, 0.2154, 0.8747], [0.5000, 0.7846, 0.1253], [0.5000, 0.7846, 0.8747]]
}